No. 1
A relaxed Pr6PtS2Br3 crystal, computed with GGA-PBE.

## Properties
As for the space group: C2/m, No. 12. For the formation energy (no corrections), the calculation gives -1.463 eV per atom.

Lattice parameters (Å, degrees): 7.2139 7.2139 7.7779 98.84 98.84 119.90
Fractional coordinates of all 12 atoms:
1 Pr 0.2698 0.2698 0.7907
2 Pr 0.0691 0.4088 0.2090
3 Pr 0.4088 0.0691 0.2090
4 Br 0.1656 0.8344 0.5000
5 Pt 0.0000 0.0000 0.0000
6 Pr 0.5912 0.9309 0.7910
7 Pr 0.7302 0.7302 0.2093
8 S 0.6665 0.3335 0.0000
9 Br 0.5000 0.5000 0.5000
10 Pr 0.9309 0.5912 0.7910
11 Br 0.8344 0.1656 0.5000
12 S 0.3335 0.6665 0.0000



No. 2
A relaxed Pr6Pt2SBr3 crystal, computed with GGA-PBE.

## Properties
As for the space group: C2/m, No. 12. For the formation energy (no corrections), the calculation gives -1.338 eV per atom.

Lattice parameters (Å, degrees): 7.4398 7.4398 7.8403 99.07 99.07 119.75
Fractional coordinates of all 12 atoms:
1 Pr 0.9313 0.5865 0.7956
2 Pr 0.2779 0.2779 0.7976
3 Pt 0.6673 0.3327 0.0000
4 Br 0.5000 0.5000 0.5000
5 Pr 0.4135 0.0687 0.2044
6 Br 0.1594 0.8406 0.5000
7 Pr 0.5865 0.9313 0.7956
8 Pr 0.7221 0.7221 0.2024
9 Pt 0.3327 0.6673 0.0000
10 S 0.0000 0.0000 0.0000
11 Pr 0.0687 0.4135 0.2044
12 Br 0.8406 0.1594 0.5000



No. 3
A relaxed Pr8Pt3Se4Br crystal, computed with GGA-PBE.

## Properties
As for the space group: R-3m, No. 166. For the formation energy (no corrections), the calculation gives -1.458 eV per atom.

Lattice parameters (Å, degrees): 8.4288 8.7271 8.4291 118.88 120.00 90.00
Fractional coordinates of all 16 atoms:
1 Pt 0.5000 0.5000 0.0000
2 Pr 0.2551 0.7477 0.5102
3 Pr 0.7449 0.2523 0.4898
4 Se 0.5000 0.0000 0.0000
5 Se 0.0000 0.0000 0.0000
6 Pr 0.7449 0.2523 0.0074
7 Pt 0.5000 0.5000 0.5000
8 Se 0.5000 0.0000 0.5000
9 Pr 0.2625 0.2523 0.0074
10 Se 0.0000 0.0000 0.5000
11 Pr 0.2573 0.2720 0.5147
12 Pr 0.7375 0.7477 0.9926
13 Br 0.0000 0.5000 0.0000
14 Pr 0.7427 0.7280 0.4853
15 Pr 0.2551 0.7477 0.9926
16 Pt 0.0000 0.5000 0.5000